# 1
Ta2Nb3O12: PBEsol geometry, SCAN.

a b c (Å): 13.4930 9.6124 9.6915
angles (deg): 90.00 90.00 90.00
Last column: nearest neighbours and their distance in Å.
Space group Pbcn (No. 60)
One atom of each set of equivalent atoms:
Ta1 0.1181 0.2493 0.0306  6 O 1.95-2.02
Nb1 0.0000 0.0263 0.7500  4 O 1.87
Nb2 0.1427 0.3895 0.3878  4 O 1.85-1.88
O1 0.0229 0.3121 0.4411  1 Nb 1.85, 1 Ta 2.02
O2 0.0708 0.1393 0.8721  1 Nb 1.87, 1 Ta 1.97
O3 0.0878 0.0877 0.1532  1 Nb 1.87, 1 Ta 2.00
O4 0.1379 0.4186 0.9192  1 Nb 1.87, 1 Ta 1.97
O5 0.1581 0.3528 0.1996  1 Nb 1.87, 1 Ta 1.99
O6 0.2466 0.3122 0.4921  1 Nb 1.88, 1 Ta 1.95

Output
theoretical density	4.4	g cm⁻³
uncorrected formation energy	-2.74	eV per atom
density of states at the Fermi level	5.5	states/eV/f.u.

# 2
LaHfTc2As: PBEsol geometry, SCAN.

a b c (Å): 4.6459 4.6459 5.2010
angles (deg): 90.00 90.00 90.00
Last column: nearest neighbours and their distance in Å.
Space group P4/mmm (No. 123)
One atom of each set of equivalent atoms:
La1 0.0000 0.0000 0.0000  4 Tc 2.32, 2 Hf 2.60
Hf1 0.0000 0.0000 0.5000  2 La 2.60
Tc1 0.0000 0.5000 0.0000  2 La 2.32
As1 0.5000 0.5000 0.5000  4 Hf 3.29, 8 Tc 3.49

Output
theoretical density	8.7	g cm⁻³
E_tot	-37.29	eV/atom
density of states at the Fermi level	4.7	states/eV/f.u.

# 3
HfCuIN2: PBEsol geometry, SCAN.

a b c (Å): 4.0222 4.0222 6.0194
angles (deg): 90.00 90.00 90.00
Last column: nearest neighbours and their distance in Å.
Space group P4/mmm (No. 123)
One atom of each set of equivalent atoms:
Hf1 0.0000 0.0000 0.0000  4 N 2.01
Cu1 0.5000 0.5000 0.5000  4 I 2.84
I1 0.0000 0.0000 0.5000  4 Cu 2.84, 2 Hf 3.01
N1 0.0000 0.5000 0.0000  2 Hf 2.01

Output
theoretical density	6.8	g cm⁻³
uncorrected formation energy	0.40	eV per atom
density of states at the Fermi level	1.5	states/eV/f.u.

# 4
LiLa2Ni2: PBEsol geometry, SCAN.

a b c (Å): 7.4709 7.4709 3.7809
angles (deg): 90.00 90.00 90.00
Last column: nearest neighbours and their distance in Å.
Space group P4/mbm (No. 127)
One atom of each set of equivalent atoms:
Li1 0.0000 0.0000 0.0000  4 Ni 2.98
La1 0.1732 0.3268 0.5000  6 Ni 2.89-2.92
Ni1 0.1196 0.6196 0.0000  1 Ni 2.53

Output
theoretical density	6.3	g cm⁻³
E_tot	-24.38	eV/atom
density of states at the Fermi level	3.4	states/eV/f.u.

# 5
ScFeSi2: PBEsol geometry, SCAN.

a b c (Å): 8.8183 9.6529 7.7136
angles (deg): 90.00 90.00 90.00
Last column: nearest neighbours and their distance in Å.
Space group Pbam (No. 55)
One atom of each set of equivalent atoms:
Sc1 0.1692 0.1778 0.0000  7 Si 2.65-2.78, 4 Fe 2.95-2.96
Sc2 0.1752 0.4517 0.2473  8 Si 2.67-2.84, 4 Fe 2.90-2.96
Fe1 0.0000 0.0000 0.2458  6 Si 2.37-2.41, 2 Fe 2.62
Fe2 0.0858 0.7403 0.2481  6 Si 2.26-2.47
Si1 0.0364 0.6217 0.0000  2 Fe 2.27, 1 Si 2.44
Si2 0.0417 0.6277 0.5000  2 Fe 2.26
Si3 0.1053 0.8972 0.5000  4 Fe 2.39-2.47, 1 Si 2.66
Si4 0.1217 0.8939 0.0000  4 Fe 2.41-2.44, 3 Sc 2.66-2.67
Si5 0.1605 0.1793 0.3459  3 Fe 2.37-2.43, 1 Si 2.38

Output
theoretical density	4.8	g cm⁻³
uncorrected formation energy	-0.60	eV per atom
density of states at the Fermi level	2.2	states/eV/f.u.

# 6
ZrP2Se: PBEsol geometry, SCAN.

a b c (Å): 3.5141 3.4043 6.7285
angles (deg): 90.00 91.64 90.00
Last column: nearest neighbours and their distance in Å.
Space group Pm (No. 6)
One atom of each set of equivalent atoms:
Zr1 0.0000 0.0000 0.0000  4 P 2.67-2.79, 4 Se 2.71-2.73
P1 0.5341 0.0000 0.3063  2 P 2.26
P2 0.9576 0.5000 0.3279  2 P 2.26
Se1 0.4943 0.5000 0.8227  4 Zr 2.71-2.73

Output
theoretical density	4.8	g cm⁻³
uncorrected formation energy	-0.88	eV per atom
density of states at the Fermi level	0.8	states/eV/f.u.

# 7
Cd2TeW: PBEsol geometry, SCAN.

a b c (Å): 3.5246 4.4059 10.1674
angles (deg): 90.00 90.00 90.00
Last column: nearest neighbours and their distance in Å.
Space group Immm (No. 71)
One atom of each set of equivalent atoms:
Cd1 0.0000 0.0000 0.2392  4 Cd 2.83, 2 W 3.00
Te1 0.0000 0.5000 0.0000  4 W 2.82
W1 0.0000 0.5000 0.5000  4 Te 2.82, 4 Cd 3.00

Output
theoretical density	11.3	g cm⁻³
uncorrected formation energy	0.80	eV per atom
density of states at the Fermi level	2.5	states/eV/f.u.

# 8
TePO5: PBEsol geometry, SCAN.

a b c (Å): 7.5053 6.5574 7.5069
angles (deg): 90.00 90.00 90.00
Last column: nearest neighbours and their distance in Å.
Space group Pnma (No. 62)
One atom of each set of equivalent atoms:
Te1 0.1293 0.2500 0.2471  6 O 1.96-2.09
P1 0.1277 0.7500 0.1286  4 O 1.54-1.55
O1 0.0473 0.2500 0.9810  1 P 1.55
O2 0.1194 0.7500 0.6738  2 Te 1.96
O3 0.1304 0.5649 0.2554  1 P 1.54
O4 0.2031 0.2500 0.5105  1 P 1.55

Output
theoretical density	4.3	g cm⁻³
uncorrected formation energy	-1.62	eV per atom
density of states at the Fermi level	0.6	states/eV/f.u.